1.
First-principles (GGA-PBE) data for a relaxed structure of CaBe2Ir, as listed in the Alexandria database.

Cell: 3.917 3.917 5.458 Å, 110.87 110.87 59.89°
Fractional positions:
Ca: 0.000 0.000 0.000
Be: 0.188 0.188 0.565
Be: 0.812 0.812 0.435
Ir: 0.500 0.500 0.500

Computed properties:
Magnetic moment in Bohr magnetons per cell: 0.00
Space-group type: No. 12
E in eV for the cell shown: -19.805

=====

2.
First-principles (GGA-PBE) data for a relaxed structure of CdAsP2O, as listed in the Alexandria database.

Cell: 4.944 4.944 3.642 Å, 90.00 90.00 90.00°
Fractional positions:
Cd: 0.000 0.000 0.000
As: 0.500 0.500 0.500
P: 0.000 0.500 0.500
P: 0.500 0.000 0.500
O: 0.500 0.500 0.000

Computed properties:
Magnetic moment in Bohr magnetons per cell: 0.00
Raw formation energy in eV/f.u.: 1.51
Space-group type: No. 123
E in eV for the cell shown: -19.835

=====

3.
First-principles (GGA-PBE) data for a relaxed structure of Li2Zn5Cu2Rh, as listed in the Alexandria database.

Cell: 8.609 8.609 3.893 Å, 90.00 90.00 90.00°
Fractional positions:
Li: 0.176 0.324 0.000
Li: 0.324 0.824 0.000
Li: 0.676 0.176 0.000
Li: 0.824 0.676 0.000
Zn: 0.000 0.500 0.500
Zn: 0.074 0.802 0.500
Zn: 0.198 0.074 0.500
Zn: 0.302 0.574 0.500
Zn: 0.426 0.302 0.500
Zn: 0.500 0.000 0.500
Zn: 0.574 0.698 0.500
Zn: 0.698 0.426 0.500
Zn: 0.802 0.926 0.500
Zn: 0.926 0.198 0.500
Cu: 0.121 0.621 0.000
Cu: 0.379 0.121 0.000
Cu: 0.621 0.879 0.000
Cu: 0.879 0.379 0.000
Rh: 0.000 0.000 0.000
Rh: 0.500 0.500 0.000

Computed properties:
Magnetic moment in Bohr magnetons per cell: 0.00
Space-group type: No. 127
E in eV for the cell shown: -55.043